1.
Crystalline InBiTe3 at its relaxed geometry. Source: Alexandria via LeMat-Bulk, functional GGA-PBE.

a = 5.6260 Å, b = 5.6260 Å, c = 5.6260 Å
α = 90.00°, β = 90.00°, γ = 90.00°
Element x y z (fractional)
Te (0.0000, 0.5000, 0.0000)
Te (0.5000, 0.0000, 0.0000)
Bi (0.5000, 0.5000, 0.5000)
In (0.0000, 0.0000, 0.0000)
Te (0.0000, 0.0000, 0.5000)

Output
- Energy relative to the elements, uncorrected: 204 kJ/mol of formula units
- E: -2.79 eV/atom
- Energy above the lowest structure with this stoichiometry: 626 meV/atom

2.
Crystalline In4BiTe2 at its relaxed geometry. Source: Alexandria via LeMat-Bulk, functional GGA-PBE.

a = 4.4566 Å, b = 7.2319 Å, c = 8.6810 Å
α = 115.74°, β = 104.87°, γ = 90.00°
Element x y z (fractional)
In (0.6470, 0.2322, 0.2941)
Te (0.7012, 0.7047, 0.4024)
In (0.3530, 0.7678, 0.7059)
In (0.0818, 0.6940, 0.1637)
Bi (0.0000, 0.0000, 0.0000)
Te (0.2988, 0.2953, 0.5976)
In (0.9182, 0.3060, 0.8363)

Output
- Energy relative to the elements, uncorrected: -69 kJ/mol of formula units
- E: -3.12 eV/atom
- Energy above the lowest structure with this stoichiometry: 3 meV/atom

3.
Crystalline In2BiTe3 at its relaxed geometry. Source: Alexandria via LeMat-Bulk, functional GGA-PBE.

a = 4.4800 Å, b = 6.4431 Å, c = 7.8854 Å
α = 114.11°, β = 106.50°, γ = 90.00°
Element x y z (fractional)
Te (0.1645, 0.6645, 0.8289)
Bi (0.5000, 0.5000, 0.5000)
Te (0.8355, 0.3355, 0.1711)
In (0.1659, 0.1659, 0.8317)
Te (0.5000, 0.0000, 0.5000)
In (0.8341, 0.8341, 0.1683)

Output
- Energy relative to the elements, uncorrected: -139 kJ/mol of formula units
- E: -3.37 eV/atom
- Energy above the lowest structure with this stoichiometry: 0 meV/atom

4.
Crystalline In5BiTe4 at its relaxed geometry. Source: Alexandria via LeMat-Bulk, functional GGA-PBE.

a = 7.0052 Å, b = 12.1172 Å, c = 8.9926 Å
α = 90.00°, β = 90.00°, γ = 90.00°
Element x y z (fractional)
Te (0.3918, 0.2323, 0.5000)
In (0.7919, 0.2531, 0.6777)
Te (0.6082, 0.2677, 0.0000)
Te (0.3918, 0.7677, 0.5000)
Te (0.8538, 0.0000, 0.7363)
Bi (0.3949, 0.5000, 0.5000)
Te (0.8538, 0.0000, 0.2637)
In (0.7919, 0.7469, 0.6777)
In (0.7919, 0.7469, 0.3223)
Te (0.6082, 0.7323, 0.0000)
In (0.1886, 0.0000, 0.5000)
Te (0.1462, 0.5000, 0.7637)
In (0.2081, 0.7531, 0.1777)
In (0.8114, 0.5000, 0.0000)
In (0.2081, 0.7531, 0.8223)
In (0.7919, 0.2531, 0.3223)
In (0.2081, 0.2469, 0.1777)
Bi (0.6051, 0.0000, 0.0000)
Te (0.1462, 0.5000, 0.2363)
In (0.2081, 0.2469, 0.8223)

Output
- Energy relative to the elements, uncorrected: -89 kJ/mol of formula units
- E: -3.11 eV/atom
- Energy above the lowest structure with this stoichiometry: 49 meV/atom

5.
Crystalline InBiTe2 at its relaxed geometry. Source: Alexandria via LeMat-Bulk, functional GGA-PBE.

a = 4.4916 Å, b = 4.4916 Å, c = 8.5534 Å
α = 74.78°, β = 74.78°, γ = 60.00°
Element x y z (fractional)
Te (0.2601, 0.2601, 0.2196)
In (0.4950, 0.4950, 0.5149)
Bi (0.6670, 0.6670, 0.9990)
Te (0.0778, 0.0778, 0.7665)

Output
- Energy relative to the elements, uncorrected: -88 kJ/mol of formula units
- E: -3.45 eV/atom

6.
Crystalline In3BiTe4 at its relaxed geometry. Source: Alexandria via LeMat-Bulk, functional GGA-PBE.

a = 6.4320 Å, b = 6.4320 Å, c = 7.7362 Å
α = 114.56°, β = 114.56°, γ = 90.00°
Element x y z (fractional)
In (0.5000, 0.5000, 0.0000)
In (0.7500, 0.2500, 0.5000)
Te (0.7488, 0.7488, 0.4976)
Te (0.2512, 0.2512, 0.5024)
In (0.2500, 0.7500, 0.5000)
Te (0.0000, 0.5000, 0.0000)
Te (0.5000, 0.0000, 0.0000)
Bi (0.0000, 0.0000, 0.0000)

Output
- Energy relative to the elements, uncorrected: -182 kJ/mol of formula units
- E: -3.32 eV/atom
- Energy above the lowest structure with this stoichiometry: 0 meV/atom

7.
Crystalline In5Bi3Te12 at its relaxed geometry. Source: Alexandria via LeMat-Bulk, functional GGA-PBE.

a = 15.5702 Å, b = 15.5702 Å, c = 15.5702 Å
α = 109.47°, β = 109.47°, γ = 109.47°
Element x y z (fractional)
Bi (0.2500, 0.1250, 0.3750)
Te (0.9571, 0.5871, 0.1736)
Bi (0.8750, 0.7500, 0.1250)
Te (0.4571, 0.6736, 0.0871)
Te (0.0865, 0.1736, 0.2165)
Bi (0.6250, 0.3750, 0.7500)
In (0.3750, 0.1250, 0.7500)
Bi (0.3750, 0.6250, 0.2500)
Bi (0.6250, 0.2500, 0.3750)
Te (0.3700, 0.9571, 0.7835)
In (0.6250, 0.8750, 0.2500)
Te (0.1300, 0.4135, 0.0871)
Te (0.2835, 0.4135, 0.8264)
Te (0.5865, 0.7165, 0.6736)
In (0.0000, 0.0000, 0.0000)
Te (0.2165, 0.5429, 0.6300)
Bi (0.8750, 0.1250, 0.2500)
In (0.0000, 0.0000, 0.5000)
Te (0.4135, 0.2835, 0.3264)
Te (0.8700, 0.5865, 0.9129)
Te (0.0429, 0.4129, 0.8264)
Te (0.4129, 0.0429, 0.3264)
Te (0.6300, 0.0429, 0.2165)
Te (0.3700, 0.4129, 0.0865)
Te (0.1736, 0.0865, 0.7165)
Te (0.7835, 0.4571, 0.3700)
In (0.1250, 0.7500, 0.3750)
Bi (0.2500, 0.6250, 0.8750)
In (0.5000, 0.5000, 0.5000)
Te (0.9135, 0.0871, 0.6300)
Te (0.4571, 0.7835, 0.8700)
Te (0.5871, 0.9571, 0.6736)
In (0.2500, 0.3750, 0.6250)
Te (0.8700, 0.2835, 0.4571)
Te (0.9129, 0.0865, 0.8700)
In (0.2500, 0.8750, 0.1250)
In (0.5000, 0.5000, 0.0000)
Bi (0.1250, 0.2500, 0.8750)
Te (0.7835, 0.3264, 0.9135)
Te (0.9135, 0.8264, 0.7835)
In (0.8750, 0.6250, 0.7500)
Te (0.3264, 0.5429, 0.4129)
Te (0.3264, 0.7835, 0.4135)
Bi (0.7500, 0.8750, 0.6250)
Te (0.1736, 0.0871, 0.9571)
In (0.0000, 0.5000, 0.0000)
Te (0.4129, 0.3700, 0.5865)
Te (0.2835, 0.8700, 0.9571)
Te (0.0865, 0.9129, 0.3700)
Te (0.9129, 0.8264, 0.5429)
Te (0.8264, 0.9129, 0.0429)
In (0.3750, 0.2500, 0.1250)
Te (0.4135, 0.1300, 0.5871)
Te (0.2165, 0.6736, 0.0865)
Te (0.5871, 0.6300, 0.4135)
In (0.7500, 0.1250, 0.8750)
Te (0.9571, 0.3700, 0.2835)
Te (0.0429, 0.6300, 0.7165)
Te (0.5865, 0.8700, 0.4129)
Te (0.0871, 0.1736, 0.4571)
Te (0.8264, 0.9135, 0.2835)
Te (0.5429, 0.2165, 0.1300)
Bi (0.7500, 0.3750, 0.1250)
Te (0.0871, 0.9135, 0.1300)
Te (0.6736, 0.4571, 0.5871)
Te (0.5429, 0.3264, 0.9129)
In (0.7500, 0.6250, 0.3750)
Te (0.7165, 0.1300, 0.0429)
Te (0.1300, 0.7165, 0.5429)
Te (0.7165, 0.5865, 0.1736)
Bi (0.3750, 0.7500, 0.6250)
In (0.5000, 0.0000, 0.5000)
In (0.5000, 0.0000, 0.0000)
In (0.0000, 0.5000, 0.5000)
In (0.8750, 0.2500, 0.6250)
In (0.1250, 0.3750, 0.2500)
In (0.6250, 0.7500, 0.8750)
Te (0.6300, 0.5871, 0.9135)
Bi (0.1250, 0.8750, 0.7500)
Te (0.6736, 0.2165, 0.5865)

Output
- Energy relative to the elements, uncorrected: -266 kJ/mol of formula units
- E: -3.29 eV/atom

8.
Crystalline In2Bi2Te at its relaxed geometry. Source: Alexandria via LeMat-Bulk, functional GGA-PBE.

a = 4.4013 Å, b = 4.4013 Å, c = 9.1820 Å
α = 76.13°, β = 76.13°, γ = 90.00°
Element x y z (fractional)
In (0.4094, 0.4094, 0.1812)
Te (0.0000, 0.0000, 0.0000)
Bi (0.7500, 0.2500, 0.5000)
In (0.5906, 0.5906, 0.8188)
Bi (0.2500, 0.7500, 0.5000)

Output
- Energy relative to the elements, uncorrected: 35 kJ/mol of formula units
- E: -3.20 eV/atom
- Energy above the lowest structure with this stoichiometry: 20 meV/atom

9.
Crystalline InBiTe3 at its relaxed geometry. Source: Alexandria via LeMat-Bulk, functional GGA-PBE.

a = 4.3794 Å, b = 8.3182 Å, c = 11.4733 Å
α = 92.56°, β = 90.00°, γ = 90.00°
Element x y z (fractional)
Bi (0.2500, 0.2931, 0.5599)
Te (0.2500, 0.9823, 0.3634)
In (0.7500, 0.9519, 0.8707)
Bi (0.7500, 0.7069, 0.4401)
In (0.2500, 0.0481, 0.1293)
Te (0.7500, 0.5183, 0.6660)
Te (0.2500, 0.4817, 0.3340)
Te (0.2500, 0.7718, 0.9628)
Te (0.7500, 0.2282, 0.0372)
Te (0.7500, 0.0177, 0.6366)

Output
- Energy relative to the elements, uncorrected: -98 kJ/mol of formula units
- E: -3.41 eV/atom
- Energy above the lowest structure with this stoichiometry: 0 meV/atom

10.
Crystalline InBi3Te4 at its relaxed geometry. Source: Alexandria via LeMat-Bulk, functional GGA-PBE.

a = 4.4125 Å, b = 7.7320 Å, c = 24.8917 Å
α = 88.00°, β = 90.00°, γ = 90.00°
Element x y z (fractional)
Bi (0.0000, 0.1738, 0.5332)
Te (0.5000, 0.3130, 0.9400)
Bi (0.0000, 0.4885, 0.8716)
Te (0.0000, 0.1442, 0.7933)
Te (0.5000, 0.6588, 0.7885)
Te (0.0000, 0.1520, 0.0682)
Bi (0.5000, 0.6742, 0.5338)
Te (0.0000, 0.5098, 0.3600)
In (0.0000, 0.4722, 0.1254)
Te (0.5000, 0.0100, 0.3601)
In (0.5000, 0.9714, 0.1255)
Bi (0.0000, 0.1746, 0.2894)
In (0.5000, 0.9993, 0.8748)
Bi (0.0000, 0.8490, 0.4655)
Te (0.0000, 0.8200, 0.9335)
Te (0.5000, 0.3653, 0.2083)
Bi (0.5000, 0.3353, 0.7113)
Bi (0.5000, 0.6745, 0.2892)
Bi (0.5000, 0.3499, 0.4654)
Bi (0.0000, 0.8340, 0.7084)
Te (0.0000, 0.8654, 0.2086)
Te (0.5000, 0.6522, 0.0678)
Te (0.0000, 0.5044, 0.6399)
Te (0.5000, 0.0085, 0.6383)

Output
- Energy relative to the elements, uncorrected: -153 kJ/mol of formula units
- E: -3.57 eV/atom
- Energy above the lowest structure with this stoichiometry: 0 meV/atom

11.
Crystalline In3BiTe at its relaxed geometry. Source: Alexandria via LeMat-Bulk, functional GGA-PBE.

a = 4.8058 Å, b = 10.1198 Å, c = 7.3970 Å
α = 112.64°, β = 90.00°, γ = 90.00°
Element x y z (fractional)
In (0.1834, 0.0493, 0.2025)
Te (0.1835, 0.2565, 0.0028)
Bi (0.6835, 0.1357, 0.4740)
In (0.6835, 0.4502, 0.9257)
In (0.6831, 0.0311, 0.8355)
In (0.1831, 0.8293, 0.5708)
In (0.6835, 0.8111, 0.2038)
In (0.1831, 0.4102, 0.4807)
Te (0.6834, 0.6039, 0.4037)
Bi (0.1836, 0.7247, 0.9324)

Output
- Energy relative to the elements, uncorrected: -35 kJ/mol of formula units
- E: -3.12 eV/atom
- Energy above the lowest structure with this stoichiometry: 0 meV/atom

12.
Crystalline In2BiTe at its relaxed geometry. Source: Alexandria via LeMat-Bulk, functional GGA-PBE.

a = 5.5109 Å, b = 5.5109 Å, c = 5.5109 Å
α = 60.00°, β = 60.00°, γ = 60.00°
Element x y z (fractional)
In (0.2500, 0.2500, 0.2500)
Bi (0.5000, 0.5000, 0.5000)
In (0.7500, 0.7500, 0.7500)
Te (0.0000, 0.0000, 0.0000)

Output
- Energy relative to the elements, uncorrected: 12 kJ/mol of formula units
- E: -3.09 eV/atom
- Energy above the lowest structure with this stoichiometry: 138 meV/atom

13.
Crystalline In2BiTe2 at its relaxed geometry. Source: Alexandria via LeMat-Bulk, functional GGA-PBE.

a = 8.5102 Å, b = 8.5102 Å, c = 4.0795 Å
α = 90.00°, β = 90.00°, γ = 90.00°
Element x y z (fractional)
In (0.6481, 0.1481, 0.0000)
Te (0.8459, 0.3459, 0.5000)
In (0.8519, 0.6481, 0.0000)
Bi (0.5000, 0.5000, 0.0000)
In (0.1481, 0.3519, 0.0000)
Te (0.1541, 0.6541, 0.5000)
In (0.3519, 0.8519, 0.0000)
Bi (0.0000, 0.0000, 0.0000)
Te (0.6541, 0.8459, 0.5000)
Te (0.3459, 0.1541, 0.5000)

Output
- Energy relative to the elements, uncorrected: 17 kJ/mol of formula units
- E: -3.09 eV/atom
- Energy above the lowest structure with this stoichiometry: 102 meV/atom

14.
Crystalline In3BiTe4 at its relaxed geometry. Source: Alexandria via LeMat-Bulk, functional GGA-PBE.

a = 6.9091 Å, b = 6.9091 Å, c = 6.9091 Å
α = 106.49°, β = 106.49°, γ = 115.61°
Element x y z (fractional)
Te (0.9438, 0.0562, 0.5000)
Bi (0.0000, 0.0000, 0.0000)
In (0.0000, 0.5000, 0.5000)
Te (0.0562, 0.5562, 0.1124)
Te (0.5562, 0.4438, 0.5000)
In (0.5000, 0.0000, 0.5000)
In (0.5000, 0.5000, 0.0000)
Te (0.4438, 0.9438, 0.8876)

Output
- Energy relative to the elements, uncorrected: -120 kJ/mol of formula units
- E: -3.24 eV/atom
- Energy above the lowest structure with this stoichiometry: 81 meV/atom

15.
Crystalline In2BiTe at its relaxed geometry. Source: Alexandria via LeMat-Bulk, functional GGA-PBE.

a = 4.7837 Å, b = 6.3285 Å, c = 18.0973 Å
α = 90.00°, β = 90.00°, γ = 90.00°
Element x y z (fractional)
In (0.7500, 0.2521, 0.1624)
In (0.2500, 0.7479, 0.8376)
Bi (0.7500, 0.7548, 0.9395)
Te (0.7500, 0.2478, 0.3240)
Bi (0.7500, 0.2548, 0.5605)
In (0.2500, 0.2447, 0.4337)
In (0.7500, 0.7553, 0.5663)
In (0.2500, 0.2479, 0.6624)
In (0.7500, 0.2553, 0.9337)
Te (0.2500, 0.7522, 0.6760)
Te (0.2500, 0.2522, 0.8240)
In (0.7500, 0.7521, 0.3376)
Bi (0.2500, 0.7452, 0.4395)
In (0.2500, 0.7447, 0.0663)
Te (0.7500, 0.7478, 0.1760)
Bi (0.2500, 0.2452, 0.0605)

Output
- Energy relative to the elements, uncorrected: -36 kJ/mol of formula units
- E: -3.22 eV/atom
- Energy above the lowest structure with this stoichiometry: 13 meV/atom

16.
Crystalline In2Bi2Te at its relaxed geometry. Source: Alexandria via LeMat-Bulk, functional GGA-PBE.

a = 4.3565 Å, b = 4.3565 Å, c = 8.7231 Å
α = 75.54°, β = 75.54°, γ = 90.00°
Element x y z (fractional)
In (0.2500, 0.7500, 0.5000)
Te (0.0000, 0.0000, 0.0000)
Bi (0.6049, 0.6049, 0.7902)
In (0.7500, 0.2500, 0.5000)
Bi (0.3951, 0.3951, 0.2098)

Output
- Energy relative to the elements, uncorrected: 43 kJ/mol of formula units
- E: -3.19 eV/atom
- Energy above the lowest structure with this stoichiometry: 37 meV/atom

17.
Crystalline InBiTe at its relaxed geometry. Source: Alexandria via LeMat-Bulk, functional GGA-PBE.

a = 3.8273 Å, b = 3.8273 Å, c = 7.9259 Å
α = 90.00°, β = 90.00°, γ = 120.00°
Element x y z (fractional)
Te (0.3333, 0.6667, 0.5916)
Bi (0.0000, 0.0000, 0.0570)
In (0.6667, 0.3333, 0.3514)

Output
- Energy relative to the elements, uncorrected: 20 kJ/mol of formula units
- E: -3.19 eV/atom
- Energy above the lowest structure with this stoichiometry: 130 meV/atom

18.
Crystalline InBiTe at its relaxed geometry. Source: Alexandria via LeMat-Bulk, functional GGA-PBE.

a = 4.5536 Å, b = 5.1702 Å, c = 10.7473 Å
α = 72.88°, β = 77.77°, γ = 63.87°
Element x y z (fractional)
Te (0.8554, 0.4974, 0.7918)
Bi (0.6506, 0.1256, 0.5731)
Bi (0.3494, 0.8744, 0.4269)
In (0.1492, 0.8090, 0.8926)
In (0.8508, 0.1910, 0.1074)
Te (0.1446, 0.5026, 0.2082)

Output
- Energy relative to the elements, uncorrected: -18 kJ/mol of formula units
- E: -3.32 eV/atom
- Energy above the lowest structure with this stoichiometry: 0 meV/atom

19.
Crystalline In2BiTe2 at its relaxed geometry. Source: Alexandria via LeMat-Bulk, functional GGA-PBE.

a = 4.1767 Å, b = 4.1767 Å, c = 9.3972 Å
α = 77.16°, β = 77.16°, γ = 90.00°
Element x y z (fractional)
In (0.7500, 0.2500, 0.5000)
Te (0.4015, 0.4015, 0.1971)
Te (0.5985, 0.5985, 0.8029)
In (0.2500, 0.7500, 0.5000)
Bi (0.0000, 0.0000, 0.0000)

Output
- Energy relative to the elements, uncorrected: 24 kJ/mol of formula units
- E: -3.08 eV/atom
- Energy above the lowest structure with this stoichiometry: 116 meV/atom

20.
Crystalline In5BiTe4 at its relaxed geometry. Source: Alexandria via LeMat-Bulk, functional GGA-PBE.

a = 7.2371 Å, b = 7.7385 Å, c = 7.7386 Å
α = 77.37°, β = 62.05°, γ = 62.05°
Element x y z (fractional)
Te (0.4129, 0.3013, 0.6989)
In (0.8988, 0.0002, 0.4093)
Bi (0.9179, 0.9997, 0.9997)
Te (0.7135, 0.6993, 0.6993)
In (0.5053, 0.0002, 0.0002)
Te (0.1114, 0.3015, 0.3015)
Te (0.4129, 0.6989, 0.3013)
In (0.3091, 0.5897, 0.0000)
In (0.8988, 0.4093, 0.0002)
In (0.3091, 0.9999, 0.5896)

Output
- Energy relative to the elements, uncorrected: -136 kJ/mol of formula units
- E: -3.16 eV/atom
- Energy above the lowest structure with this stoichiometry: 0 meV/atom